1.
VASP calculation (GGA-PBE) on an optimized crystal structure of TePbBr2.

a b c (Å): 7.8435 7.8435 7.8435
angles (deg): 90.00 90.00 90.00
Space group Fm-3m (No. 225)
One atom of each set of equivalent atoms:
Te 0.0000 0.0000 0.0000 [4 per cell]
Pb 0.0000 0.0000 0.5000 [4 per cell]
Br 0.2500 0.2500 0.2500 [8 per cell]

relative energy among the computed polymorphs	0.346	eV/atom



2.
VASP calculation (GGA-PBE) on an optimized crystal structure of TePbBr6.

a b c (Å): 7.1342 7.1342 19.6815
angles (deg): 90.00 90.00 120.00
Space group R-3 (No. 148, hexagonal axes)
One atom of each set of equivalent atoms:
Te 0.0000 0.0000 0.0000 [3 per cell]
Pb 0.0000 0.0000 0.5000 [3 per cell]
Br 0.0072 0.6467 0.5873 [18 per cell]



3.
VASP calculation (GGA-PBE) on an optimized crystal structure of TePbBr2.

a b c (Å): 7.7149 7.7149 7.7149
angles (deg): 90.00 90.00 90.00
Space group F-43m (No. 216)
One atom of each set of equivalent atoms:
Te 0.0000 0.0000 0.0000 [4 per cell]
Pb 0.2500 0.2500 0.2500 [4 per cell]
Br 0.0000 0.0000 0.5000 [4 per cell]
Br 0.2500 0.2500 0.7500 [4 per cell]

relative energy among the computed polymorphs	0.277	eV/atom



no.,E_form (uncorrected) (eV/atom),total magnetic moment (μB/f.u.)
1,-0.0481,1.89
2,-0.5184,0.00
3,-0.1170,0.00